Here is a relaxed KCu2Cl6 crystal from Alexandria. Energies are from GGA-PBE.

Lattice parameters (Å, degrees): 6.2865 6.2865 6.9698 90.00 90.00 120.00
Last column: nearest neighbours and their distance in Å.
Atoms (fractional coordinates):
1 K 0.0000 0.0000 0.0000  6 Cl 3.18
2 Cl 0.6233 0.0000 0.3038  2 Cu 2.40
3 Cl 0.3767 0.0000 0.6962  2 Cu 2.40
4 Cl 0.0000 0.3767 0.6962  2 Cu 2.40
5 Cl 0.0000 0.6233 0.3038  2 Cu 2.40
6 Cl 0.3767 0.3767 0.3038  2 Cu 2.40
7 Cl 0.6233 0.6233 0.6962  2 Cu 2.40
8 Cu 0.3333 0.6667 0.5000  6 Cl 2.40
9 Cu 0.6667 0.3333 0.5000  6 Cl 2.40

Calculated values
The space group is P-31m. The uncorrected formation energy is -714 meV per atom. The calculation puts the energy above the most stable polymorph in this dataset at 0.000 eV per atom. For the total energy, the calculation gives -2.98 eV/atom.